(1)
# InMo2Pt, optimized geometry, DFT PBE
data_InMo2Pt
_chemical_formula_sum 'In2 Mo4 Pt2'
_space_group_name_H-M_alt 'C m m 2'
_space_group_IT_number 35
_cell_length_a 3.679
_cell_length_b 4.232
_cell_length_c 8.711
_cell_angle_alpha 90.00
_cell_angle_beta 90.00
_cell_angle_gamma 90.00
loop_
_space_group_symop_operation_xyz
'x,y,z'
'-x,-y,z'
'-x,y,z'
'x,-y,z'
'x+1/2,y+1/2,z'
'-x+1/2,-y+1/2,z'
'-x+1/2,y+1/2,z'
'x+1/2,-y+1/2,z'
loop_
_atom_site_label
_atom_site_type_symbol
_atom_site_fract_x
_atom_site_fract_y
_atom_site_fract_z
In1 In 0.000 0.000 0.000
Mo1 Mo 0.000 0.000 0.515
Mo2 Mo 0.000 0.500 0.265
Pt1 Pt 0.000 0.500 0.742
# energy of formation from the pure elements: 0.061 eV/atom
# M_tot: 0.0 μB per formula unit
# volume: 17.0 Å³ per atom
# crystal system: orthorhombic

=====

(2)
# CaCd3Au, optimized geometry, DFT PBE
data_CaCd3Au
_chemical_formula_sum 'Ca1 Cd3 Au1'
_space_group_name_H-M_alt 'P m -3 m'
_space_group_IT_number 221
_space_group_name_Hall '-P 4 2 3'
_cell_length_a 6.077
_cell_length_b 6.077
_cell_length_c 6.077
_cell_angle_alpha 90.00
_cell_angle_beta 90.00
_cell_angle_gamma 90.00
loop_
_atom_site_label
_atom_site_type_symbol
_atom_site_fract_x
_atom_site_fract_y
_atom_site_fract_z
Ca1 Ca 0.000 0.000 0.000
Cd1 Cd 0.000 0.000 0.500
Au1 Au 0.500 0.500 0.500
# energy of formation from the pure elements: 0.667 eV/atom
# polymorph energy (0 for the lowest one): 994.5 meV per atom
# M_tot: 0.0 μB per formula unit
# volume: 44.9 Å³ per atom
# crystal system: cubic